(1)
Below is an optimized crystal structure of Sc4Rh3Au, with properties calculated at the PBE-GGA level.

Output
Its formation energy is -0.94 eV per atom.

a b c (Å): 3.243 4.671 9.282
angles (deg): 90.00 90.00 90.00
Space group Pmmm (No. 47)
Symmetry-distinct sites (fractional):
Sc (0.000, 0.000, 0.000) x1
Sc (0.000, 0.000, 0.500) x1
Sc (0.000, 0.500, 0.240) x2
Rh (0.500, 0.000, 0.247) x2
Rh (0.500, 0.500, 0.000) x1
Au (0.500, 0.500, 0.500) x1

---

(2)
Below is an optimized crystal structure of ZrCr3Tc, with properties calculated at the PBE-GGA level.

Output
Its offset from the most stable computed form is 0 meV per atom. Its formation energy is 1.03 eV per atom.

a b c (Å): 4.515 4.515 4.515
angles (deg): 90.00 90.00 90.00
Space group Pm-3m (No. 221)
Symmetry-distinct sites (fractional):
Zr (0.000, 0.000, 0.000) x1
Cr (0.000, 0.500, 0.500) x3
Tc (0.500, 0.500, 0.500) x1

---

(3)
Below is an optimized crystal structure of CaReW2, with properties calculated at the PBE-GGA level.

Output
Its offset from the most stable computed form is 253 meV per atom. Its formation energy is 0.76 eV per atom.

a b c (Å): 4.607 4.607 6.508
angles (deg): 90.00 90.00 90.00
Space group I-4m2 (No. 119)
Symmetry-distinct sites (fractional):
Ca (0.000, 0.000, 0.000) x2
Re (0.000, 0.500, 0.750) x2
W (0.000, 0.000, 0.500) x2
W (0.000, 0.500, 0.250) x2

---

(4)
Below is an optimized crystal structure of RbAgP2S8, with properties calculated at the PBE-GGA level.

Output
The formation energy from raw total energies is -118 meV/atom.

a b c (Å): 5.5692 5.5692 34.7389
angles (deg): 90.00 90.00 120.00
Space group R-3 (No. 148, hexagonal axes)
Symmetry-distinct sites (fractional):
Rb (0.0000, 0.0000, 0.0000) x3
Ag (0.0000, 0.0000, 0.5000) x3
P (0.0000, 0.0000, 0.2402) x6
S (0.0000, 0.0000, 0.2972) x6
S (0.0095, 0.3070, 0.8825) x18

---

Number 2 is which compound?
ZrCr3Tc